Entry 1:
Material: Mg3Sc4Ni
Method: DFT, PBE-GGA
State: relaxed

Unit cell a=3.2560 b=3.2560 c=16.2392 alpha=90.00 beta=90.00 gamma=90.00
Last column: nearest neighbours and their distance in Å.
Element x y z (fractional)
Mg  0.0000  0.0000  0.0000  8 Sc 3.19, 4 Mg 3.26
Mg  0.0000  0.0000  0.2685  8 Sc 3.16-3.22, 4 Mg 3.26
Mg  0.0000  0.0000  0.7315  8 Sc 3.16-3.22, 4 Mg 3.26
Sc  0.5000  0.5000  0.1356  8 Mg 3.16-3.19, 4 Sc 3.26
Sc  0.5000  0.5000  0.4071  4 Ni 2.75, 1 Sc 3.02
Sc  0.5000  0.5000  0.5929  4 Ni 2.75, 1 Sc 3.02
Sc  0.5000  0.5000  0.8644  8 Mg 3.16-3.19, 4 Sc 3.26
Ni  0.0000  0.0000  0.5000  8 Sc 2.75

Values from the calculation:
Magnetic moment ... 0.3 μB per cell
Density ... 3004 kg/m³
Fermi-level density of states ... 1.019 states/eV per atom
Energy relative to the elements ... -0.1514 eV per atom
VASP energy ... -37.103 eV/cell
V ... 172.2 Å³ per cell
Space group ... P4/mmm



Entry 2:
Material: MnCu2Pd
Method: DFT, PBE-GGA
State: relaxed

Unit cell a=4.3737 b=5.3107 c=4.6407 alpha=90.00 beta=90.00 gamma=90.00
Last column: nearest neighbours and their distance in Å.
Element x y z (fractional)
Mn  0.2500  0.2500  0.1656  8 Cu 2.65-2.70, 4 Pd 2.66-2.67
Mn  0.7500  0.7500  0.8344  8 Cu 2.65-2.70, 4 Pd 2.66-2.67
Cu  0.2500  0.9998  0.6601  4 Cu 2.64-2.66, 4 Pd 2.65-2.70, 4 Mn 2.65-2.70
Cu  0.2500  0.5002  0.6601  4 Cu 2.64-2.66, 4 Pd 2.65-2.70, 4 Mn 2.65-2.70
Cu  0.7500  0.0002  0.3399  4 Cu 2.64-2.66, 4 Pd 2.65-2.70, 4 Mn 2.65-2.70
Cu  0.7500  0.4998  0.3399  4 Cu 2.64-2.66, 4 Pd 2.65-2.70, 4 Mn 2.65-2.70
Pd  0.2500  0.7500  0.1662  8 Cu 2.65-2.70, 4 Mn 2.66-2.67
Pd  0.7500  0.2500  0.8338  8 Cu 2.65-2.70, 4 Mn 2.66-2.67

Values from the calculation:
Magnetic moment ... 8.2 μB per cell
Density ... 8887 kg/m³
Fermi-level density of states ... 0.492 states/eV per atom
Energy relative to the elements ... -0.0845 eV per atom
VASP energy ... -45.785 eV/cell
V ... 107.8 Å³ per cell
Space group ... Pmmn



Entry 3:
Material: La2ErAlO
Method: DFT, PBE-GGA
State: relaxed

Unit cell a=5.0814 b=5.0814 c=4.6508 alpha=90.00 beta=90.00 gamma=90.00
Last column: nearest neighbours and their distance in Å.
Element x y z (fractional)
La  0.0000  0.5000  0.0000  2 O 2.54
La  0.5000  0.0000  0.0000  2 O 2.54
Er  0.0000  0.0000  0.5000  2 O 2.33
Al  0.5000  0.5000  0.5000  8 La 3.44, 4 Er 3.59
O  0.0000  0.0000  0.0000  2 Er 2.33, 4 La 2.54

Values from the calculation:
Magnetic moment ... 0.0 μB per cell
Density ... 6749 kg/m³
Fermi-level density of states ... 0.555 states/eV per atom
VASP energy ... -29.760 eV/cell
ΔE_f (raw) ... -6.6 eV per formula unit
V ... 120.1 Å³ per cell
Space group ... P4/mmm



Entry 4:
Material: Tm8GeAs3Se4
Method: DFT, PBE-GGA
State: relaxed

Unit cell a=8.1180 b=8.1180 c=8.1180 alpha=59.92 beta=59.92 gamma=59.92
Last column: nearest neighbours and their distance in Å.
Element x y z (fractional)
Tm  0.2457  0.2457  0.2457  3 As 2.82, 3 Se 2.92
Tm  0.2487  0.7438  0.7438  1 Ge 2.80, 2 As 2.83, 3 Se 2.91-2.94
Tm  0.2562  0.2562  0.7513  1 Ge 2.80, 2 As 2.83, 3 Se 2.91-2.94
Tm  0.2562  0.7513  0.2562  1 Ge 2.80, 2 As 2.83, 3 Se 2.91-2.94
Tm  0.7438  0.2487  0.7438  1 Ge 2.80, 2 As 2.83, 3 Se 2.91-2.94
Tm  0.7438  0.7438  0.2487  1 Ge 2.80, 2 As 2.83, 3 Se 2.91-2.94
Tm  0.7513  0.2562  0.2562  1 Ge 2.80, 2 As 2.83, 3 Se 2.91-2.94
Tm  0.7543  0.7543  0.7543  3 As 2.82, 3 Se 2.92
Ge  0.5000  0.5000  0.5000  6 Tm 2.80
As  0.0000  0.0000  0.5000  6 Tm 2.82-2.83
As  0.0000  0.5000  0.0000  6 Tm 2.82-2.83
As  0.5000  0.0000  0.0000  6 Tm 2.82-2.83
Se  0.0000  0.0000  0.0000  6 Tm 2.94
Se  0.0000  0.5000  0.5000  6 Tm 2.91-2.92
Se  0.5000  0.0000  0.5000  6 Tm 2.91-2.92
Se  0.5000  0.5000  0.0000  6 Tm 2.91-2.92

Values from the calculation:
Magnetic moment ... 0.0 μB per cell
Density ... 8640 kg/m³
Fermi-level density of states ... 0.295 states/eV per atom
VASP energy ... -93.700 eV/cell
ΔE_f (raw) ... -25.4 eV per formula unit
V ... 377.6 Å³ per cell
Space group ... R-3m